No. 1
! PBE-GGA AgSbIr, optimized geometry; values from VASP
! Energy above the most stable polymorph in this dataset (meV/atom): 318
! E (eV/cell): -14.6
! Symmetry: No. 42
! M_tot (μB/f.u.): 0.00
&SYSTEM
  ibrav = 0, nat = 3, ntyp = 3
/
ATOMIC_SPECIES
Ag 107.87 Ag.upf
Sb 121.76 Sb.upf
Ir 192.22 Ir.upf
ATOMIC_POSITIONS crystal
Ag 0.0000 0.0000 0.0000
Sb 0.3018 0.3018 0.6982
Ir 0.6565 0.6565 0.3435
CELL_PARAMETERS angstrom
0.0000 2.5778 7.5198
1.5293 0.0000 7.5198
1.5293 2.5778 0.0000

=====

No. 2
! PBE-GGA NpTl3Sn2Se6, optimized geometry; values from VASP
! E (eV/cell): -56.3
! Symmetry: No. 12
! M_tot (μB/f.u.): 1.98
&SYSTEM
  ibrav = 0, nat = 12, ntyp = 4
/
ATOMIC_SPECIES
Np 237.00 Np.upf
Tl 204.38 Tl.upf
Sn 118.71 Sn.upf
Se 78.96 Se.upf
ATOMIC_POSITIONS crystal
Np 0.0000 0.0000 0.0000
Tl 0.1698 0.8302 0.5000
Tl 0.5000 0.5000 0.5000
Tl 0.8302 0.1698 0.5000
Sn 0.3335 0.6665 0.0000
Sn 0.6665 0.3335 0.0000
Se 0.0672 0.3777 0.2035
Se 0.2389 0.2389 0.7892
Se 0.3777 0.0672 0.2035
Se 0.6223 0.9328 0.7965
Se 0.7611 0.7611 0.2108
Se 0.9328 0.6223 0.7965
CELL_PARAMETERS angstrom
3.7433 -6.4459 0.0000
3.7433 6.4459 0.0000
-2.4532 0.0000 7.5168

=====

No. 3
! PBE-GGA CaYTc2F, optimized geometry; values from VASP
! E (eV/cell): -30.2
! Symmetry: No. 123
! M_tot (μB/f.u.): 2.07
&SYSTEM
  ibrav = 0, nat = 5, ntyp = 4
/
ATOMIC_SPECIES
Ca 40.08 Ca.upf
Y 88.91 Y.upf
Tc 98.00 Tc.upf
F 19.00 F.upf
ATOMIC_POSITIONS crystal
Ca 0.0000 0.0000 0.0000
Y 0.5000 0.5000 0.0000
Tc 0.0000 0.5000 0.5000
Tc 0.5000 0.0000 0.5000
F 0.5000 0.5000 0.5000
CELL_PARAMETERS angstrom
4.6168 0.0000 0.0000
0.0000 4.6168 0.0000
0.0000 0.0000 4.5036

=====

No. 4
! PBE-GGA Pr2NdY5Er, optimized geometry; values from VASP
! E (eV/cell): -98.0
! Symmetry: No. 140
! DFT formation energy (meV per atom): 244
! M_tot (μB/f.u.): 0.00
&SYSTEM
  ibrav = 0, nat = 18, ntyp = 4
/
ATOMIC_SPECIES
Pr 140.91 Pr.upf
Nd 144.24 Nd.upf
Y 88.91 Y.upf
Er 167.26 Er.upf
ATOMIC_POSITIONS crystal
Pr 0.1192 0.6192 0.7384
Pr 0.3808 0.1192 0.5000
Pr 0.6192 0.8808 0.5000
Pr 0.8808 0.3808 0.2616
Nd 0.2500 0.7500 0.5000
Nd 0.7500 0.2500 0.5000
Y 0.0000 0.0000 0.0000
Y 0.0692 0.1508 0.5000
Y 0.1508 0.6508 0.0816
Y 0.3492 0.4308 0.5000
Y 0.4308 0.9308 0.0816
Y 0.5000 0.5000 0.0000
Y 0.5692 0.0692 0.9184
Y 0.6508 0.5692 0.5000
Y 0.8492 0.3492 0.9184
Y 0.9308 0.8492 0.5000
Er 0.2500 0.2500 0.0000
Er 0.7500 0.7500 0.0000
CELL_PARAMETERS angstrom
-4.3252 4.3252 7.9658
4.3252 -4.3252 7.9658
4.3252 4.3252 -7.9658

=====

No. 5
! PBE-GGA NdTl2IO8, optimized geometry; values from VASP
! E (eV/cell): -63.0
! Symmetry: No. 2
! M_tot (μB/f.u.): 0.00
&SYSTEM
  ibrav = 0, nat = 12, ntyp = 4
/
ATOMIC_SPECIES
Nd 144.24 Nd.upf
Tl 204.38 Tl.upf
I 126.90 I.upf
O 16.00 O.upf
ATOMIC_POSITIONS crystal
Nd 0.0000 0.0000 0.0000
Tl 0.4654 0.4648 0.7503
Tl 0.5346 0.5352 0.2497
I 0.0000 0.0000 0.5000
O 0.1597 0.8072 0.2963
O 0.1889 0.8364 0.7025
O 0.2729 0.2668 0.4976
O 0.3193 0.3115 0.0253
O 0.6807 0.6885 0.9747
O 0.7271 0.7332 0.5024
O 0.8111 0.1636 0.2975
O 0.8403 0.1928 0.7037
CELL_PARAMETERS angstrom
5.1372 0.0000 0.0000
-0.0286 5.1451 0.0000
-0.4692 -0.4950 6.9166

=====

No. 6
! PBE-GGA CaY4Sb, optimized geometry; values from VASP
! E (eV/cell): -31.1
! Symmetry: No. 216
! M_tot (μB/f.u.): 0.00
&SYSTEM
  ibrav = 0, nat = 6, ntyp = 3
/
ATOMIC_SPECIES
Ca 40.08 Ca.upf
Y 88.91 Y.upf
Sb 121.76 Sb.upf
ATOMIC_POSITIONS crystal
Ca 0.0000 0.0000 0.0000
Y 0.3747 0.3747 0.3747
Y 0.3747 0.3747 0.8759
Y 0.3747 0.8759 0.3747
Y 0.8759 0.3747 0.3747
Sb 0.7500 0.7500 0.7500
CELL_PARAMETERS angstrom
0.0000 4.6441 4.6441
4.6441 0.0000 4.6441
4.6441 4.6441 0.0000